Version P
# Dy4Tl2Cd

A relaxed structure of Dy4Tl2Cd (PBE-GGA, the Alexandria database).

Unit cell a=7.268 b=6.677 c=9.372 alpha=90.00 beta=115.41 gamma=90.00
Element x y z (fractional)
1 Dy 0.560 0.493 0.225
2 Dy 0.030 0.750 0.845
3 Dy 0.970 0.250 0.155
4 Dy 0.560 0.007 0.225
5 Dy 0.973 0.250 0.547
6 Dy 0.440 0.993 0.775
7 Dy 0.440 0.507 0.775
8 Dy 0.027 0.750 0.453
9 Tl 0.774 0.750 0.060
10 Tl 0.226 0.250 0.940
11 Tl 0.388 0.250 0.457
12 Tl 0.612 0.750 0.543
13 Cd 0.212 0.750 0.215
14 Cd 0.788 0.250 0.785

***

Version Q
# Dy4Tl2Cd

A relaxed structure of Dy4Tl2Cd (PBE-GGA, the Alexandria database).

Unit cell a=5.261 b=5.261 c=9.046 alpha=73.09 beta=73.09 gamma=60.00
Element x y z (fractional)
1 Tl 0.750 0.750 0.751
2 Tl 0.250 0.250 0.249
3 Cd 0.000 0.000 0.000
4 Dy 0.872 0.872 0.384
5 Dy 0.128 0.128 0.616
6 Dy 0.620 0.620 0.139
7 Dy 0.380 0.380 0.861

***

What should be chosen as the most stable of them? Choose version Q.

***

Version P
# DyTlCd2

A relaxed structure of DyTlCd2 (PBE-GGA, the Alexandria database).

Unit cell a=4.880 b=4.515 c=4.515 alpha=90.00 beta=90.00 gamma=90.00
Element x y z (fractional)
1 Tl 0.500 0.500 0.500
2 Cd 0.000 0.000 0.500
3 Cd 0.000 0.500 0.000
4 Dy 0.500 0.000 0.000

***

Version Q
# DyTlCd2

A relaxed structure of DyTlCd2 (PBE-GGA, the Alexandria database).

Unit cell a=3.887 b=3.887 c=6.894 alpha=90.00 beta=90.00 gamma=90.00
Site moments in Bohr magnetons follow the coordinates.
Element x y z (fractional)
1 Tl 0.500 0.500 0.500  0.00
2 Cd 0.000 0.000 0.754  0.00
3 Cd 0.000 0.000 0.246  0.00
4 Dy 0.500 0.500 0.000  0.09

***

What should be chosen as the most stable of them? Choose version P.

***

Version P
# Dy4Tl3Cd

A relaxed structure of Dy4Tl3Cd (PBE-GGA, the Alexandria database).

Unit cell a=5.338 b=5.338 c=8.470 alpha=108.48 beta=108.49 gamma=89.88
Element x y z (fractional)
1 Tl 0.000 0.500 0.000
2 Tl 0.747 0.247 0.494
3 Tl 0.253 0.753 0.506
4 Cd 0.500 0.000 0.000
5 Dy 0.376 0.376 0.752
6 Dy 0.624 0.624 0.248
7 Dy 0.124 0.124 0.248
8 Dy 0.876 0.876 0.752

***

Version Q
# Dy4Tl3Cd

A relaxed structure of Dy4Tl3Cd (PBE-GGA, the Alexandria database).

Unit cell a=3.831 b=4.852 c=12.010 alpha=90.00 beta=90.00 gamma=90.00
Element x y z (fractional)
1 Dy 0.500 0.500 0.345
2 Dy 0.000 0.500 0.851
3 Dy 0.000 0.000 0.151
4 Dy 0.500 0.000 0.652
5 Tl 0.000 0.500 0.588
6 Tl 0.000 0.000 0.414
7 Tl 0.500 0.000 0.918
8 Cd 0.500 0.500 0.081

***

What should be chosen as the most stable of them? Choose version P.